First-principles (GGA-PBE) data for a relaxed structure of Zn5As2Pd12, as listed in the Alexandria database.

a = 7.303 Å, b = 7.291 Å, c = 6.477 Å
α = 95.87°, β = 90.00°, γ = 120.05°
Sites, in units of the cell vectors:
Zn (0.238, 0.475, 0.531)
Zn (0.327, 0.654, 0.077)
Zn (0.000, 0.000, 0.500)
Zn (0.673, 0.346, 0.923)
Zn (0.762, 0.525, 0.469)
As (0.787, 0.000, 0.000)
As (0.213, 0.000, 0.000)
Pd (0.868, 0.737, 0.150)
Pd (0.035, 0.622, 0.799)
Pd (0.588, 0.622, 0.799)
Pd (0.191, 0.785, 0.422)
Pd (0.594, 0.785, 0.422)
Pd (0.464, 0.929, 0.782)
Pd (0.536, 0.071, 0.218)
Pd (0.809, 0.215, 0.578)
Pd (0.406, 0.215, 0.578)
Pd (0.965, 0.378, 0.201)
Pd (0.412, 0.378, 0.201)
Pd (0.132, 0.263, 0.850)

Computed properties:
Space-group type: C2/m
Energy of formation from the pure elements (eV/f.u.): -6.95
N(E_F) (states/eV/f.u.): 7.6